[1]
DFT (PBE) results for a relaxed NaLiNdAl crystal.

It has space group F-43m (No. 216), with a = 7.311 Å, b = 7.311 Å, c = 7.311 Å, α = 90.00°, β = 90.00° and γ = 90.00°. The distinct sites, in fractional coordinates, are Na at (0.000, 0.000, 0.000), Li at (0.250, 0.250, 0.750), Nd at (0.250, 0.250, 0.250) and Al at (0.000, 0.000, 0.500).

---

[2]
DFT (PBE) results for a relaxed Mn3InOs crystal.

It has space group Pm-3m (No. 221), with a = 4.760 Å, b = 4.760 Å, c = 4.760 Å, α = 90.00°, β = 90.00° and γ = 90.00°. The distinct sites, in fractional coordinates, are Mn at (0.000, 0.000, 0.500), In at (0.500, 0.500, 0.500) and Os at (0.000, 0.000, 0.000).

---

[3]
DFT (PBE) results for a relaxed Pm3Dy2Y8 crystal.

It has space group P-1 (No. 2), with a = 6.203 Å, b = 6.212 Å, c = 11.336 Å, α = 89.85°, β = 79.42° and γ = 80.40°. The distinct sites, in fractional coordinates, are Pm at (0.000, 0.000, 0.000), Pm at (0.386, 0.768, 0.462), Dy at (0.230, 0.462, 0.076), Y at (0.076, 0.156, 0.693), Y at (0.154, 0.307, 0.384), Y at (0.308, 0.616, 0.771) and Y at (0.460, 0.923, 0.153).

---

[4]
DFT (PBE) results for a relaxed KHg2As2 crystal.

It has space group I4/mmm (No. 139), with a = 4.642 Å, b = 4.642 Å, c = 12.310 Å, α = 90.00°, β = 90.00° and γ = 90.00°. The distinct sites, in fractional coordinates, are K at (0.000, 0.000, 0.000), Hg at (0.000, 0.000, 0.387) and As at (0.000, 0.500, 0.250).

---

[5]
DFT (PBE) results for a relaxed PaNi12Ge6 crystal.

It has space group R-3m (No. 166, hexagonal axes), with a = 10.6199 Å, b = 10.6199 Å, c = 7.9541 Å, α = 90.00°, β = 90.00° and γ = 120.00°. The distinct sites, in fractional coordinates, are Pa at (0.0000, 0.0000, 0.0000), Ni at (0.0000, 0.3809, 0.5000), Ni at (0.0824, 0.1649, 0.2976) and Ge at (0.0456, 0.5228, 0.2573).

---

[6]
DFT (PBE) results for a relaxed Li5Ir crystal.

It has space group F-43m (No. 216), with a = 6.929 Å, b = 6.929 Å, c = 6.929 Å, α = 90.00°, β = 90.00° and γ = 90.00°. The distinct sites, in fractional coordinates, are Li at (0.000, 0.000, 0.000), Li at (0.122, 0.122, 0.622) and Ir at (0.250, 0.250, 0.250).

---

[7]
DFT (PBE) results for a relaxed BiPtI crystal.

It has space group P2_1/m (No. 11), with a = 4.558 Å, b = 4.278 Å, c = 9.855 Å, α = 90.00°, β = 99.33° and γ = 90.00°. The distinct sites, in fractional coordinates, are Bi at (0.050, 0.250, 0.148), Pt at (0.395, 0.750, 0.071) and I at (0.290, 0.250, 0.661).

The calculation puts the formation energy (no corrections) at -0.262 eV/atom.

---

[8]
DFT (PBE) results for a relaxed TlPbCl crystal.

It has space group Imm2 (No. 44), with a = 3.548 Å, b = 4.592 Å, c = 10.971 Å, α = 90.00°, β = 90.00° and γ = 90.00°. The distinct sites, in fractional coordinates, are Tl at (0.000, 0.000, 0.000), Pb at (0.000, 0.000, 0.300) and Cl at (0.000, 0.000, 0.691).

The calculation puts the formation energy (no corrections) at -0.328 eV/atom.

---

no.,DOS(E_F) (states/eV per cell),final energy (eV/atom)
1,5.27,-2.95
2,8.37,-7.24
3,19.22,-5.76
4,3.73,-2.26
5,40.32,-5.84
6,7.14,-2.97
7,2.75,-4.09
8,4.06,-2.97